Entry 1:
A relaxed Ce2NpOs crystal, computed with PBE.

Calculated values
As for the calculated density: 13.84 Mg/m³. For the energy, the calculation gives -35.37 eV for the cell shown. As for the crystal system: trigonal. Its energy of formation from the pure elements is 0.17 eV/atom.

Lattice parameters (Å, degrees): 5.268 5.268 5.268 52.39 52.39 52.39
Fractional positions:
Ce 0.246 0.246 0.246
Ce 0.754 0.754 0.754
Np 0.500 0.500 0.500
Os 0.000 0.000 0.000

Entry 2:
A relaxed CeNpOs2 crystal, computed with PBE.

Calculated values
As for the calculated density: 15.82 Mg/m³. The value obtained for the relative energy among the computed polymorphs is 0.008 eV/atom. For the energy, the calculation gives -41.16 eV for the cell shown. As for the crystal system: tetragonal. Its energy of formation from the pure elements is 0.04 eV/atom.

Lattice parameters (Å, degrees): 3.263 3.263 7.466 90.00 90.00 90.00
Fractional positions:
Ce 0.000 0.000 0.000
Np 0.000 0.000 0.500
Os 0.500 0.500 0.274
Os 0.500 0.500 0.726

Entry 3:
A relaxed Ce3NpOs8 crystal, computed with PBE.

Calculated values
As for the calculated density: 16.43 Mg/m³. For the energy, the calculation gives -122.55 eV for the cell shown. As for the crystal system: trigonal. Its energy of formation from the pure elements is -0.16 eV/atom.

Lattice parameters (Å, degrees): 9.335 9.335 9.335 33.47 33.47 33.47
Fractional positions:
Ce 0.000 0.000 0.000
Ce 0.125 0.125 0.125
Ce 0.500 0.500 0.500
Np 0.624 0.624 0.624
Os 0.060 0.563 0.563
Os 0.063 0.063 0.564
Os 0.063 0.564 0.063
Os 0.312 0.312 0.312
Os 0.563 0.060 0.563
Os 0.563 0.563 0.060
Os 0.564 0.063 0.063
Os 0.813 0.813 0.813

| no. | volume (A^3/atom) | D(E_F) (states/eV/atom) |
| --- | --- | --- |
| 1 | 21.2 | 1.83 |
| 2 | 19.9 | 1.75 |
| 3 | 18.4 | 1.09 |